Entry 1:
! Sm3US6Cl2 (PBE, relaxed); values from VASP
! raw formation energy = -1.775 eV/atom
! electronic total energy = -6.267 eV/atom
! symmetry = C2/m (12)
! theoretical density = 4.67 g/cm³
! crystal system = monoclinic
! D(E_F) = 2.02 states/eV per cell
! spin magnetization = 1.0 μB/cell
&SYSTEM
  ibrav = 0, nat = 12, ntyp = 4
/
ATOMIC_SPECIES
Sm 150.36 Sm.upf
S 32.06 S.upf
Cl 35.45 Cl.upf
U 238.03 U.upf
CELL_PARAMETERS angstrom
6.095 0.000 0.485
0.000 7.985 0.000
-0.277 -3.993 6.943
ATOMIC_POSITIONS angstrom
Sm 2.909 -1.996 3.714
S 1.376 -2.067 6.014
S 1.565 0.000 2.404
Sm 2.909 1.996 3.714
S 4.253 3.993 5.024
Cl 1.311 3.992 2.527
Sm 0.000 3.993 0.000
Cl 4.507 0.000 4.902
S 1.376 2.067 6.014
S 4.442 6.060 1.414
U 3.048 0.000 0.243
S 4.442 1.925 1.414

Entry 2:
! Sm4ZnS2Cl (PBE, relaxed); values from VASP
! raw formation energy = -1.427 eV/atom
! electronic total energy = -5.208 eV/atom
! symmetry = P2/m (10)
! theoretical density = 6.63 g/cm³
! crystal system = monoclinic
! D(E_F) = 4.42 states/eV per cell
! spin magnetization = 0.0 μB/cell
&SYSTEM
  ibrav = 0, nat = 8, ntyp = 4
/
ATOMIC_SPECIES
Sm 150.36 Sm.upf
Cl 35.45 Cl.upf
Zn 65.41 Zn.upf
S 32.06 S.upf
CELL_PARAMETERS angstrom
-3.378 1.745 -1.184
-2.718 -6.378 -1.648
-3.327 -2.540 5.752
ATOMIC_POSITIONS angstrom
Sm -4.584 -4.619 -0.425
Sm -4.890 -0.397 -0.028
Cl -3.048 -2.317 -1.416
Sm -4.839 -2.555 3.346
Sm -4.534 -6.777 2.949
Zn -3.023 -4.459 2.052
S -3.353 -0.397 2.284
S -3.327 -2.540 5.752

Entry 3:
! Sm4ZnSCl2 (PBE, relaxed); values from VASP
! raw formation energy = -1.253 eV/atom
! electronic total energy = -4.749 eV/atom
! symmetry = P2/m (10)
! theoretical density = 6.46 g/cm³
! crystal system = monoclinic
! D(E_F) = 4.87 states/eV per cell
! spin magnetization = 0.0 μB/cell
&SYSTEM
  ibrav = 0, nat = 8, ntyp = 4
/
ATOMIC_SPECIES
Zn 65.41 Zn.upf
Cl 35.45 Cl.upf
Sm 150.36 Sm.upf
S 32.06 S.upf
CELL_PARAMETERS angstrom
4.012 0.000 0.000
0.000 7.392 -0.246
0.000 2.502 6.586
ATOMIC_POSITIONS angstrom
Zn 2.006 6.198 6.463
Cl 0.000 2.502 6.586
Sm 2.006 5.995 1.585
Sm 4.012 2.622 1.612
Cl 2.006 1.251 3.293
Sm 2.006 3.899 4.755
Sm 0.000 7.272 4.728
S 0.000 4.947 3.170

Entry 4:
! SnS3Cl (PBE, relaxed); values from VASP
! raw formation energy = 0.689 eV/atom
! electronic total energy = -2.957 eV/atom
! symmetry = Pm-3m (221)
! theoretical density = 3.85 g/cm³
! crystal system = cubic
! relative energy among the computed polymorphs = 0.034 eV/atom
! D(E_F) = 3.20 states/eV per cell
! spin magnetization = 0.0 μB/cell
&SYSTEM
  ibrav = 0, nat = 5, ntyp = 3
/
ATOMIC_SPECIES
Cl 35.45 Cl.upf
S 32.06 S.upf
Sn 118.71 Sn.upf
CELL_PARAMETERS angstrom
-3.815 2.403 1.526
1.021 -1.227 4.484
2.657 3.921 0.467
ATOMIC_POSITIONS angstrom
Cl 0.000 0.000 0.000
S 0.511 -0.613 2.242
Sn -0.068 2.549 3.239
S -1.907 1.202 0.763
S 1.329 1.961 0.234